VASP calculation (PBE) on a geometry-optimized La2Al5Hg structure.

Results
- Calculated total energy: -4.016 eV per atom
- Calculated volume: 22.99 A^3/atom

Lattice parameters (Å, degrees): 4.652 6.733 6.733 60.71 90.00 90.00
Fractional positions:
Al: 0.000 0.865 0.281
Al: 0.000 0.281 0.865
Al: 0.500 0.728 0.141
Al: 0.500 0.140 0.140
Al: 0.500 0.141 0.728
Hg: 0.000 0.849 0.849
La: 0.500 0.660 0.660
La: 0.000 0.336 0.336



VASP calculation (PBE) on a geometry-optimized Sm4GaNi4 structure.

Results
- Calculated total energy: -5.354 eV per atom
- Calculated volume: 20.38 A^3/atom

Lattice parameters (Å, degrees): 5.488 5.488 9.303 107.01 107.01 43.63
Fractional positions:
Sm: 0.393 0.393 0.619
Sm: 0.260 0.260 0.157
Sm: 0.607 0.607 0.381
Sm: 0.740 0.740 0.843
Ni: 0.900 0.900 0.378
Ni: 0.964 0.964 0.138
Ni: 0.036 0.036 0.862
Ni: 0.100 0.100 0.622
Ga: 0.500 0.500 0.000



VASP calculation (PBE) on a geometry-optimized Na2Sc2NiSn2Pd structure.

Results
- Calculated total energy: -4.639 eV per atom
- Calculated volume: 18.42 A^3/atom

Lattice parameters (Å, degrees): 4.700 4.700 6.669 90.00 90.00 90.00
Fractional positions:
Sc: 0.000 0.500 0.243
Sc: 0.500 0.000 0.757
Na: 0.500 0.500 0.000
Na: 0.000 0.000 0.500
Sn: 0.500 0.000 0.242
Sn: 0.000 0.500 0.758
Pd: 0.500 0.500 0.500
Ni: 0.000 0.000 0.000



VASP calculation (PBE) on a geometry-optimized YErB3 structure.

Results
- Calculated total energy: -6.675 eV per atom
- Calculated volume: 14.25 A^3/atom

Lattice parameters (Å, degrees): 5.897 3.256 7.426 90.00 90.96 90.00
Fractional positions:
B: 0.420 0.250 0.000
B: 0.050 0.250 0.502
B: 0.950 0.750 0.498
B: 0.921 0.750 0.000
B: 0.079 0.250 0.000
B: 0.580 0.750 0.000
Er: 0.755 0.250 0.249
Er: 0.245 0.750 0.751
Y: 0.744 0.250 0.744
Y: 0.256 0.750 0.256



VASP calculation (PBE) on a geometry-optimized NdGdIn structure.

Results
- Calculated total energy: -4.152 eV per atom
- Calculated volume: 34.60 A^3/atom

Lattice parameters (Å, degrees): 5.275 5.275 5.275 60.00 60.00 60.00
Fractional positions:
Nd: 0.750 0.750 0.750
In: 0.000 0.000 0.000
Gd: 0.250 0.250 0.250



VASP calculation (PBE) on a geometry-optimized TcBSb structure.

Results
- Calculated total energy: -6.225 eV per atom
- Calculated volume: 15.03 A^3/atom
- Energy above the most stable polymorph in this dataset: 0.00 kJ per mole of atoms

Lattice parameters (Å, degrees): 3.995 3.995 3.995 60.00 60.00 60.00
Fractional positions:
Sb: 0.250 0.250 0.250
B: 0.000 0.000 0.000
Tc: 0.750 0.750 0.750



VASP calculation (PBE) on a geometry-optimized PrAgPbS3 structure.

Results
- Calculated total energy: -4.974 eV per atom
- Calculated volume: 24.17 A^3/atom
- Energy above the most stable polymorph in this dataset: 0.00 kJ per mole of atoms

Lattice parameters (Å, degrees): 8.315 4.258 16.383 90.00 90.00 90.00
Fractional positions:
S: 0.684 0.250 0.714
S: 0.615 0.750 0.441
S: 0.464 0.750 0.910
S: 0.385 0.250 0.559
S: 0.816 0.750 0.214
S: 0.184 0.250 0.786
S: 0.964 0.750 0.590
S: 0.316 0.750 0.286
S: 0.536 0.250 0.090
S: 0.885 0.250 0.941
S: 0.115 0.750 0.059
S: 0.036 0.250 0.410
Ag: 0.382 0.750 0.131
Ag: 0.882 0.750 0.369
Ag: 0.618 0.250 0.869
Ag: 0.118 0.250 0.631
Pb: 0.904 0.750 0.763
Pb: 0.404 0.750 0.737
Pb: 0.596 0.250 0.263
Pb: 0.096 0.250 0.237
Pr: 0.732 0.250 0.538
Pr: 0.268 0.750 0.462
Pr: 0.232 0.250 0.962
Pr: 0.768 0.750 0.038



VASP calculation (PBE) on a geometry-optimized YCdCuSb structure.

Results
- Calculated total energy: -3.911 eV per atom
- Calculated volume: 22.40 A^3/atom
- Energy above the most stable polymorph in this dataset: 2.16 kJ per mole of atoms

Lattice parameters (Å, degrees): 5.023 5.023 5.023 60.00 60.00 60.00
Fractional positions:
Sb: 0.000 0.000 0.000
Cu: 0.750 0.750 0.750
Cd: 0.250 0.250 0.250
Y: 0.500 0.500 0.500



VASP calculation (PBE) on a geometry-optimized NaTl2PdF6 structure.

Results
- Calculated total energy: -4.023 eV per atom
- Calculated volume: 15.01 A^3/atom

Lattice parameters (Å, degrees): 6.035 5.997 10.245 90.00 125.93 90.00
Fractional positions:
F: 0.719 0.238 0.987
F: 0.758 0.502 0.237
F: 0.735 0.770 0.488
F: 0.242 0.002 0.263
F: 0.719 0.262 0.487
F: 0.281 0.762 0.013
F: 0.281 0.738 0.513
F: 0.265 0.230 0.512
F: 0.758 0.998 0.737
F: 0.265 0.270 0.012
F: 0.242 0.498 0.763
F: 0.735 0.730 0.988
Tl: 0.252 0.504 0.251
Tl: 0.748 0.004 0.249
Tl: 0.748 0.496 0.749
Tl: 0.252 0.996 0.751
Pd: 0.500 0.500 0.000
Pd: 0.500 0.000 0.500
Na: 0.000 0.000 0.000
Na: 0.000 0.500 0.500



VASP calculation (PBE) on a geometry-optimized Ag2BrCl structure.

Results
- Calculated total energy: -2.694 eV per atom
- Calculated volume: 29.58 A^3/atom

Lattice parameters (Å, degrees): 4.376 4.376 7.135 90.00 90.00 120.00
Fractional positions:
Cl: 0.333 0.667 0.005
Ag: 0.000 0.000 0.117
Ag: 0.333 0.667 0.639
Br: 0.000 0.000 0.499



VASP calculation (PBE) on a geometry-optimized CsKSbAu structure.

Results
- Calculated total energy: -2.842 eV per atom
- Calculated volume: 39.99 A^3/atom
- Energy above the most stable polymorph in this dataset: 1.19 kJ per mole of atoms

Lattice parameters (Å, degrees): 7.183 6.877 6.877 70.38 90.00 90.00
Fractional positions:
Sb: 0.250 0.256 0.757
Sb: 0.750 0.757 0.256
Au: 0.500 0.987 0.987
Au: 0.000 0.987 0.987
K: 0.250 0.510 0.162
K: 0.750 0.162 0.510
Cs: 0.750 0.494 0.846
Cs: 0.250 0.846 0.494



VASP calculation (PBE) on a geometry-optimized AlNiAsPd4 structure.

Results
- Calculated total energy: -5.476 eV per atom
- Calculated volume: 15.10 A^3/atom

Lattice parameters (Å, degrees): 3.969 3.969 6.708 90.00 90.00 90.00
Fractional positions:
Ni: 0.500 0.500 0.000
As: 0.500 0.500 0.500
Pd: 0.000 0.500 0.264
Pd: 0.500 0.000 0.736
Pd: 0.000 0.500 0.736
Pd: 0.500 0.000 0.264
Al: 0.000 0.000 0.000



VASP calculation (PBE) on a geometry-optimized NaNi3Sb5 structure.

Results
- Calculated total energy: -4.462 eV per atom
- Calculated volume: 22.65 A^3/atom

Lattice parameters (Å, degrees): 5.334 5.334 8.271 90.00 90.00 120.00
Fractional positions:
Ni: 0.500 0.000 0.500
Ni: 0.000 0.500 0.500
Ni: 0.500 0.500 0.500
Sb: 0.333 0.667 0.239
Sb: 0.667 0.333 0.761
Sb: 0.333 0.667 0.761
Sb: 0.000 0.000 0.500
Sb: 0.667 0.333 0.239
Na: 0.000 0.000 0.000



VASP calculation (PBE) on a geometry-optimized LiNdH3 structure.

Results
- Calculated total energy: -3.649 eV per atom
- Calculated volume: 11.62 A^3/atom

Lattice parameters (Å, degrees): 5.559 7.175 5.829 90.00 90.00 90.00
Fractional positions:
H: 0.862 0.068 0.652
H: 0.227 0.750 0.765
H: 0.273 0.250 0.265
H: 0.362 0.432 0.848
H: 0.727 0.750 0.735
H: 0.862 0.432 0.652
H: 0.138 0.932 0.348
H: 0.138 0.568 0.348
H: 0.773 0.250 0.235
H: 0.638 0.932 0.152
H: 0.638 0.568 0.152
H: 0.362 0.068 0.848
Nd: 0.500 0.500 0.500
Nd: 0.000 0.000 0.000
Nd: 0.500 0.000 0.500
Nd: 0.000 0.500 0.000
Li: 0.002 0.750 0.508
Li: 0.998 0.250 0.492
Li: 0.502 0.750 0.992
Li: 0.498 0.250 0.008



VASP calculation (PBE) on a geometry-optimized Pd2S3 structure.

Results
- Calculated total energy: -4.820 eV per atom
- Calculated volume: 23.27 A^3/atom

Lattice parameters (Å, degrees): 5.906 5.781 6.815 90.00 90.00 90.00
Fractional positions:
Pd: 0.250 0.250 0.500
Pd: 0.750 0.750 0.500
Pd: 0.750 0.250 0.500
Pd: 0.250 0.750 0.500
S: 0.677 0.000 0.236
S: 0.823 0.500 0.764
S: 0.000 0.500 0.312
S: 0.177 0.500 0.764
S: 0.323 0.000 0.236
S: 0.500 0.000 0.688



VASP calculation (PBE) on a geometry-optimized KPaB structure.

Results
- Calculated total energy: -4.469 eV per atom
- Calculated volume: 22.41 A^3/atom
- Energy above the most stable polymorph in this dataset: 0.00 kJ per mole of atoms

Lattice parameters (Å, degrees): 4.564 4.564 4.564 60.00 60.00 60.00
Fractional positions:
B: 0.000 0.000 0.000
Pa: 0.250 0.250 0.250
K: 0.750 0.750 0.750



VASP calculation (PBE) on a geometry-optimized HoMg structure.

Results
- Calculated total energy: -3.051 eV per atom
- Calculated volume: 27.13 A^3/atom

Lattice parameters (Å, degrees): 6.084 6.686 5.335 90.00 90.00 90.00
Fractional positions:
Ho: 0.036 0.504 0.000
Ho: 0.297 0.004 0.500
Ho: 0.536 0.746 0.000
Ho: 0.797 0.246 0.500
Mg: 0.336 0.501 0.500
Mg: 0.997 0.001 0.000
Mg: 0.836 0.749 0.500
Mg: 0.497 0.249 0.000



VASP calculation (PBE) on a geometry-optimized ThHgPb structure.

Results
- Calculated total energy: -3.815 eV per atom
- Calculated volume: 31.48 A^3/atom

Lattice parameters (Å, degrees): 5.112 5.112 5.112 60.00 60.00 60.00
Fractional positions:
Hg: 0.000 0.000 0.000
Pb: 0.250 0.250 0.250
Th: 0.750 0.750 0.750



VASP calculation (PBE) on a geometry-optimized LaNd3O7 structure.

Results
- Calculated total energy: -7.828 eV per atom
- Calculated volume: 15.57 A^3/atom

Lattice parameters (Å, degrees): 8.218 5.976 5.976 35.71 90.00 90.00
Fractional positions:
O: 0.593 0.654 0.654
O: 0.000 0.667 0.667
O: 0.248 0.919 0.919
O: 0.407 0.654 0.654
O: 0.000 0.391 0.391
O: 0.752 0.919 0.919
O: 0.500 0.378 0.378
Nd: 0.241 0.294 0.294
Nd: 0.759 0.294 0.294
Nd: 0.500 0.006 0.006
La: 0.000 0.020 0.020



VASP calculation (PBE) on a geometry-optimized HfGaCoCu structure.

Results
- Calculated total energy: -6.064 eV per atom
- Calculated volume: 14.65 A^3/atom
- Energy above the most stable polymorph in this dataset: 20.10 kJ per mole of atoms

Lattice parameters (Å, degrees): 4.360 4.360 4.360 60.00 60.00 60.00
Fractional positions:
Cu: 0.750 0.750 0.750
Hf: 0.250 0.250 0.250
Ga: 0.000 0.000 0.000
Co: 0.500 0.500 0.500